[1]
Material: Zn3AsRu
Method: DFT, GGA-PBE
State: optimized geometry Values from VASP.

Properties
formation energy from the elements: 758 meV/atom
magnetization: 0.2405 μB per atom
space-group type: No. 221

Quantum ESPRESSO input file:
```
&SYSTEM
  ibrav = 0, nat = 5, ntyp = 3
/
ATOMIC_SPECIES
Zn 65.41 Zn.upf
As 74.92 As.upf
Ru 101.07 Ru.upf
CELL_PARAMETERS angstrom
4.759 0.000 0.000
0.000 4.759 0.000
0.000 0.000 4.759
ATOMIC_POSITIONS crystal
Zn 0.000 0.000 0.500
Zn 0.000 0.500 0.000
Zn 0.500 0.000 0.000
As 0.500 0.500 0.500
Ru 0.000 0.000 0.000
```


[2]
Material: Sc4As3P
Method: DFT, GGA-PBE
State: optimized geometry Values from VASP.

Properties
formation energy from the elements: -1402 meV/atom
magnetization: 0.0000 μB per atom
space-group type: No. 65

Quantum ESPRESSO input file:
```
&SYSTEM
  ibrav = 0, nat = 16, ntyp = 3
/
ATOMIC_SPECIES
Sc 44.96 Sc.upf
As 74.92 As.upf
P 30.97 P.upf
CELL_PARAMETERS angstrom
7.698 0.000 0.000
0.000 10.884 0.000
0.000 0.000 3.849
ATOMIC_POSITIONS crystal
Sc 0.000 0.247 0.000
Sc 0.000 0.753 0.000
Sc 0.244 0.000 0.500
Sc 0.256 0.500 0.500
Sc 0.500 0.253 0.000
Sc 0.500 0.747 0.000
Sc 0.744 0.500 0.500
Sc 0.756 0.000 0.500
As 0.000 0.500 0.000
As 0.250 0.250 0.500
As 0.250 0.750 0.500
As 0.500 0.000 0.000
As 0.750 0.250 0.500
As 0.750 0.750 0.500
P 0.000 0.000 0.000
P 0.500 0.500 0.000
```